Entry 1:
This record from Alexandria describes a geometry-optimized Ag3OsI2Cl6 structure. The functional is PBE.

Symmetry: C2/m (12)
Total DFT energy (no corrections): -3.190 eV per atom
Total moment: 2.717 μB/f.u.
N(E_F): 3.78 states/eV/f.u.

Structure (POSCAR):
```
Ag3OsI2Cl6
1.0
7.2529 -3.8927 0.0000
7.2529 3.8927 0.0000
-0.6761 0.0000 6.0556
Ag Os I Cl
3 1 2 6
direct
0.0000 0.0000 0.0000
0.0000 0.5000 0.5000
0.5000 0.0000 0.5000
0.5000 0.5000 0.5000
0.1814 0.1814 0.1975
0.8186 0.8186 0.8025
0.2114 0.6375 0.2796
0.3625 0.7886 0.7204
0.3765 0.3765 0.7154
0.6235 0.6235 0.2846
0.6375 0.2114 0.2796
0.7886 0.3625 0.7204
```

---

Entry 2:
This record from Alexandria describes a geometry-optimized Pm2SiPb2 structure. The functional is PBE.

Symmetry: I4/mmm (139)
Total DFT energy (no corrections): -4.536 eV per atom
Total moment: 0.000 μB/f.u.
N(E_F): 4.71 states/eV/f.u.

Structure (POSCAR):
```
Pm2SiPb2
1.0
-2.0852 2.0852 8.5568
2.0852 -2.0852 8.5568
2.0852 2.0852 -8.5568
Pm Si Pb
2 1 2
direct
0.0896 0.0896 0.0000
0.9104 0.9104 0.0000
0.5000 0.5000 0.0000
0.2500 0.7500 0.5000
0.7500 0.2500 0.5000
```

---

- Which of these has the lowest total moment?
  Pm2SiPb2